DFT (PBE) results for an optimized crystal structure of LiPbIN2.

Formation energy (no corrections) = 1.36 eV/atom
Energy = -3.41 eV/atom

The structure in CIF format:
```
data_LiPbIN2
_chemical_formula_sum 'Li1 Pb1 I1 N2'
_cell_length_a 4.604
_cell_length_b 4.604
_cell_length_c 5.490
_cell_angle_alpha 90.00
_cell_angle_beta 90.00
_cell_angle_gamma 90.00
_symmetry_space_group_name_H-M 'P 4/m m m'
_symmetry_Int_Tables_number 123
_symmetry_space_group_name_Hall '-P 4 2'
loop_
_atom_site_label
_atom_site_fract_x
_atom_site_fract_y
_atom_site_fract_z
_atom_site_occupancy
Li1 0.000 0.000 0.000 1
Pb1 0.500 0.500 0.500 1
I1 0.000 0.000 0.500 1
N1 0.000 0.500 0.000 1
```

DFT (PBE) results for an optimized crystal structure of NiAs2Br.

Formation energy (no corrections) = 0.70 eV/atom
Energy = -3.49 eV/atom

The structure in CIF format:
```
data_NiAs2Br
_chemical_formula_sum 'Ni4 As8 Br4'
_cell_length_a 6.601
_cell_length_b 6.601
_cell_length_c 6.601
_cell_angle_alpha 90.00
_cell_angle_beta 90.00
_cell_angle_gamma 90.00
_symmetry_space_group_name_H-M 'F m -3 m'
_symmetry_Int_Tables_number 225
_symmetry_space_group_name_Hall '-F 4 2 3'
loop_
_atom_site_label
_atom_site_fract_x
_atom_site_fract_y
_atom_site_fract_z
_atom_site_occupancy
Ni1 0.000 0.000 0.000 1
As1 0.250 0.250 0.250 1
Br1 0.000 0.000 0.500 1
```